VASP calculation (PBE+U) on TlCoBiF6 after structural relaxation.

Structure (POSCAR):
```
TlCoBiF6
1.0
5.910 0.000 0.010
2.959 5.114 0.010
-0.008 -0.006 5.486
Tl Co Bi F
1 1 1 6
Direct
0.000 0.000 0.964
0.667 0.667 0.514
0.333 0.333 0.453
0.947 0.360 0.313
0.413 0.006 0.710
0.581 0.414 0.710
0.005 0.581 0.710
0.360 0.693 0.313
0.693 0.946 0.313
```

E_tot in eV per atom: -4.692
Crystal system: trigonal
Total magnetization in μB/f.u.: 3.00